*i*
A plane-wave DFT calculation with PBE was carried out for a relaxed structure of Tl4HgAu2.

Unit cell a=10.161 b=10.161 c=10.161 alpha=27.88 beta=27.88 gamma=27.88
Fractional coordinates of all 7 atoms:
Tl  0.109  0.109  0.109
Tl  0.299  0.299  0.299
Tl  0.701  0.701  0.701
Tl  0.891  0.891  0.891
Hg  0.500  0.500  0.500
Au  0.401  0.401  0.401
Au  0.599  0.599  0.599

Computed properties:
* space group: R-3m (166)
* Fermi-level density of states: 3.5 states/eV/f.u.
* crystal system: trigonal

---

*ii*
A plane-wave DFT calculation with PBE was carried out for a relaxed structure of Tl4HgAu2.

Unit cell a=19.982 b=3.473 c=5.627 alpha=90.00 beta=95.07 gamma=90.00
Fractional coordinates of all 14 atoms:
Tl  0.085  0.000  0.072
Tl  0.168  0.500  0.622
Tl  0.332  0.000  0.378
Tl  0.415  0.500  0.928
Tl  0.585  0.500  0.072
Tl  0.668  0.000  0.622
Tl  0.832  0.500  0.378
Tl  0.915  0.000  0.928
Hg  0.000  0.500  0.500
Hg  0.500  0.000  0.500
Au  0.213  0.500  0.150
Au  0.287  0.000  0.850
Au  0.713  0.000  0.150
Au  0.787  0.500  0.850

Computed properties:
* space group: C2/m (12)
* Fermi-level density of states: 3.1 states/eV/f.u.
* crystal system: monoclinic

---

Which structure is most stable? *i*, by 22 meV/atom over the runner-up.

---

*i*
A plane-wave DFT calculation with PBE was carried out for a relaxed structure of TlHg4Au.

Unit cell a=6.134 b=6.134 c=6.134 alpha=60.00 beta=60.00 gamma=60.00
Fractional coordinates of all 6 atoms:
Tl  0.000  0.000  0.000
Hg  0.375  0.375  0.375
Hg  0.375  0.375  0.874
Hg  0.375  0.874  0.375
Hg  0.874  0.375  0.375
Au  0.750  0.750  0.750

Computed properties:
* space group: F-43m (216)
* Fermi-level density of states: 1.5 states/eV/f.u.
* crystal system: cubic

---

*ii*
A plane-wave DFT calculation with PBE was carried out for a relaxed structure of TlHg4Au.

Unit cell a=8.848 b=8.848 c=5.488 alpha=103.69 beta=103.69 gamma=53.10
Fractional coordinates of all 12 atoms:
Tl  0.201  0.201  0.205
Tl  0.799  0.799  0.795
Hg  0.103  0.642  0.374
Hg  0.180  0.820  0.000
Hg  0.317  0.317  0.801
Hg  0.358  0.897  0.626
Hg  0.642  0.103  0.374
Hg  0.683  0.683  0.199
Hg  0.820  0.180  0.000
Hg  0.897  0.358  0.626
Au  0.495  0.495  0.251
Au  0.505  0.505  0.749

Computed properties:
* space group: C2/m (12)
* Fermi-level density of states: 1.7 states/eV/f.u.
* crystal system: monoclinic

---

Which structure is most stable? *ii*, by 129 meV/atom over the runner-up.